1.
The following is a GGA-PBE calculation of Tl2TcC after structural relaxation, from Alexandria.

Summary:
energy above the most stable polymorph in this dataset	0.0	meV per atom
theoretical density	8.58	g/cm³
formation energy	1040.0	meV per atom
Fermi-level density of states	3.602	states/eV/f.u.
M_tot	0.00	μB/cell

Lattice parameters (Å, degrees): 10.0977 10.0977 3.9375 90.00 90.00 90.00
Space group I-42d (No. 122)
Asymmetric unit:
Tl 0.0022 0.7500 0.1250 [8 per cell]
Tc 0.0000 0.0000 0.5000 [4 per cell]
C 0.0000 0.0000 0.0000 [4 per cell]


2.
The following is a GGA-PBE calculation of Y2HfMn after structural relaxation, from Alexandria.

Summary:
energy above the most stable polymorph in this dataset	0.0	meV per atom
theoretical density	7.50	g/cm³
formation energy	604.9	meV per atom
Fermi-level density of states	8.203	states/eV/f.u.
M_tot	0.01	μB/cell

Lattice parameters (Å, degrees): 7.1417 7.1417 7.1417 90.00 90.00 90.00
Space group Fm-3m (No. 225)
Asymmetric unit:
Y 0.2500 0.2500 0.2500 [8 per cell]
Hf 0.0000 0.0000 0.0000 [4 per cell]
Mn 0.0000 0.0000 0.5000 [4 per cell]


3.
The following is a GGA-PBE calculation of Cu2HPt6 after structural relaxation, from Alexandria.

Summary:
theoretical density	17.38	g/cm³
E_tot	-47.82	eV/f.u.
Fermi-level density of states	12.176	states/eV/f.u.
M_tot	0.00	μB/cell

Lattice parameters (Å, degrees): 4.0791 8.1261 8.4889 90.00 118.12 90.00
Space group P2_1/c (No. 14)
Asymmetric unit:
Cu 0.0186 0.1238 0.2527 [4 per cell]
H 0.5000 0.0000 0.5000 [2 per cell]
Pt 0.2036 0.6444 0.9982 [4 per cell]
Pt 0.2669 0.1199 0.9989 [4 per cell]
Pt 0.4803 0.6217 0.7532 [4 per cell]


4.
The following is a GGA-PBE calculation of TmTaN2 after structural relaxation, from Alexandria.

Summary:
energy relative to the elements, uncorrected	-1.4120	eV/atom
theoretical density	12.99	g/cm³
Fermi-level density of states	0.253	states/eV/f.u.
M_tot	0.00	μB/cell

Lattice parameters (Å, degrees): 3.1457 3.1457 16.9073 90.00 90.00 120.00
Space group R3m (No. 160, hexagonal axes)
Asymmetric unit:
Tm 0.0000 0.0000 0.0000 [3 per cell]
Ta 0.0000 0.0000 0.1754 [3 per cell]
N 0.0000 0.0000 0.4284 [3 per cell]
N 0.0000 0.0000 0.5849 [3 per cell]


5.
The following is a GGA-PBE calculation of Th6As2Os3Se after structural relaxation, from Alexandria.

Summary:
energy relative to the elements, uncorrected	-0.8455	eV/atom
theoretical density	11.42	g/cm³
Fermi-level density of states	6.536	states/eV/f.u.
M_tot	0.00	μB/cell

Lattice parameters (Å, degrees): 18.6188 4.1453 8.6038 90.00 106.25 90.00
Space group C2/m (No. 12)
Asymmetric unit:
Th 0.0056 0.0000 0.2312 [4 per cell]
Th 0.1616 0.5000 0.0948 [4 per cell]
Th 0.1740 0.5000 0.5681 [4 per cell]
As 0.1654 0.0000 0.8286 [4 per cell]
Os 0.0000 0.5000 0.0000 [2 per cell]
Os 0.1654 0.0000 0.3320 [4 per cell]
Se 0.0000 0.5000 0.5000 [2 per cell]


6.
The following is a GGA-PBE calculation of CoSi3Cl after structural relaxation, from Alexandria.

Summary:
energy above the most stable polymorph in this dataset	1386.6	meV per atom
energy relative to the elements, uncorrected	1.5286	eV/atom
theoretical density	3.10	g/cm³
Fermi-level density of states	4.700	states/eV/f.u.
M_tot	1.86	μB/cell

Lattice parameters (Å, degrees): 4.5756 4.5756 4.5756 90.00 90.00 90.00
Space group Pm-3m (No. 221)
Asymmetric unit:
Co 0.0000 0.0000 0.0000 [1 per cell]
Si 0.0000 0.5000 0.5000 [3 per cell]
Cl 0.5000 0.5000 0.5000 [1 per cell]


7.
The following is a GGA-PBE calculation of Sm2Al5Cu after structural relaxation, from Alexandria.

Summary:
theoretical density	5.10	g/cm³
formation energy	-322.3	meV per atom
Fermi-level density of states	3.260	states/eV/f.u.
M_tot	0.00	μB/cell

Lattice parameters (Å, degrees): 6.0470 6.0470 8.8879 90.00 90.00 90.00
Space group I4mm (No. 107)
Asymmetric unit:
Sm 0.0000 0.5000 0.0000 [4 per cell]
Al 0.0000 0.0000 0.0172 [2 per cell]
Al 0.2410 0.2410 0.7516 [8 per cell]
Cu 0.0000 0.0000 0.4079 [2 per cell]


8.
The following is a GGA-PBE calculation of LaPrTe after structural relaxation, from Alexandria.

Summary:
energy above the most stable polymorph in this dataset	43.0	meV per atom
energy relative to the elements, uncorrected	-0.8051	eV/atom
theoretical density	6.79	g/cm³
Fermi-level density of states	3.565	states/eV/f.u.
M_tot	0.00	μB/cell

Lattice parameters (Å, degrees): 4.0933 4.0933 11.8938 90.00 90.00 90.00
Space group I4mm (No. 107)
Asymmetric unit:
La 0.0000 0.0000 0.0000 [2 per cell]
Pr 0.0000 0.0000 0.7011 [2 per cell]
Te 0.0000 0.0000 0.3434 [2 per cell]


9.
The following is a GGA-PBE calculation of MoPtSe2 after structural relaxation, from Alexandria.

Summary:
energy above the most stable polymorph in this dataset	475.5	meV per atom
energy relative to the elements, uncorrected	0.3394	eV/atom
theoretical density	10.36	g/cm³
Fermi-level density of states	2.961	states/eV/f.u.
M_tot	0.00	μB/cell

Lattice parameters (Å, degrees): 2.6685 4.3874 6.1478 90.00 90.00 90.00
Space group Pmmm (No. 47)
Asymmetric unit:
Mo 0.0000 0.0000 0.0000 [1 per cell]
Pt 0.0000 0.0000 0.5000 [1 per cell]
Se 0.0000 0.5000 0.2431 [2 per cell]


10.
The following is a GGA-PBE calculation of Cs2NaHgBi2 after structural relaxation, from Alexandria.

Summary:
theoretical density	5.82	g/cm³
formation energy	-301.5	meV per atom
Fermi-level density of states	5.024	states/eV/f.u.
M_tot	0.00	μB/cell

Lattice parameters (Å, degrees): 7.6583 17.5710 7.6900 90.00 90.00 90.00
Space group Ibam (No. 72)
Asymmetric unit:
Cs 0.2463 0.1654 0.0000 [8 per cell]
Na 0.0000 0.0000 0.2500 [4 per cell]
Hg 0.0000 0.5000 0.2500 [4 per cell]
Bi 0.2239 0.4063 0.0000 [8 per cell]


11.
The following is a GGA-PBE calculation of Ba2NaCuAg after structural relaxation, from Alexandria.

Summary:
theoretical density	3.97	g/cm³
formation energy	33.4	meV per atom
Fermi-level density of states	4.641	states/eV/f.u.
M_tot	0.00	μB/cell

Lattice parameters (Å, degrees): 6.2076 6.2076 5.0899 90.00 90.00 90.00
Space group P4/mmm (No. 123)
Asymmetric unit:
Ba 0.0000 0.5000 0.0000 [2 per cell]
Na 0.0000 0.0000 0.5000 [1 per cell]
Cu 0.5000 0.5000 0.0000 [1 per cell]
Ag 0.5000 0.5000 0.5000 [1 per cell]


12.
The following is a GGA-PBE calculation of K2CuBiBr6 after structural relaxation, from Alexandria.

Summary:
energy above the most stable polymorph in this dataset	0.0	meV per atom
energy relative to the elements, uncorrected	-1.0337	eV/atom
theoretical density	4.17	g/cm³
M_tot	0.00	μB/cell

Lattice parameters (Å, degrees): 7.8758 8.2447 12.6798 90.00 126.51 90.00
Space group P2_1/c (No. 14)
Asymmetric unit:
K 0.2290 0.0768 0.2478 [4 per cell]
Cu 0.5000 0.0000 0.0000 [2 per cell]
Bi 0.0000 0.0000 0.5000 [2 per cell]
Br 0.1512 0.2081 0.9545 [4 per cell]
Br 0.2456 0.6970 0.9480 [4 per cell]
Br 0.3739 0.0245 0.7759 [4 per cell]